Record 1
This record from Alexandria describes a geometry-optimized Dy4MgSc2 structure. The functional is GGA-PBE.

E = -4.55 eV/atom
magnetic moment = 0.00 Bohr magnetons per cell
formation energy = 0.8 eV/f.u.

```
14
Lattice="-2.7705 1.1453 -1.6428 -1.9626 -8.0766 1.2359 -11.6380 5.7122 9.4149" Properties=species:S:1:pos:R:3 pbc="T T T"
Mg -12.0365 -3.1305 7.4707
Dy -4.1634 -1.3826 2.5090
Dy -9.0940 1.6583 5.8486
Sc -6.7069 0.0586 4.2571
Sc -9.6642 -1.2777 4.7509
Sc -14.9069 1.2555 8.2665
Dy -3.2172 -4.7458 2.1269
Dy -13.1539 3.5266 6.8811
Dy -7.2042 3.4288 3.8861
Dy -7.2771 -2.8774 3.1594
Sc -1.4642 -2.4746 0.7415
Dy -12.2076 0.1634 6.4990
Dy -1.3852 0.5726 -0.8214
Mg -4.3346 1.9114 1.5373
```


Record 2
This record from Alexandria describes a geometry-optimized U2Co4Ge3Au structure. The functional is GGA-PBE.

E = -7.08 eV/atom
magnetic moment = 2.15 Bohr magnetons per cell
formation energy = -2.7 eV/f.u.

```
10
Lattice="-2.5596 -0.7624 2.7199 -2.0372 -2.0444 -2.4902 5.6087 -8.9593 2.7668" Properties=species:S:1:pos:R:3 pbc="T T T"
Ge 2.8044 -4.4796 1.3834
U 0.1354 -2.6419 2.0581
Au 0.5059 -5.8830 1.4982
Ge -0.3421 -2.1029 -0.9114
Co -2.2984 -1.4034 0.1149
Co 2.4651 -6.3633 3.2073
U 3.1749 -7.7208 0.8235
Ge 3.6524 -8.2598 3.7930
Co 0.8452 -3.9994 -0.3257
Co 0.0000 0.0000 0.0000
```


Record 3
This record from Alexandria describes a geometry-optimized Pr4Nd2ErSc structure. The functional is GGA-PBE.

E = -4.91 eV/atom
magnetic moment = 0.00 Bohr magnetons per cell
formation energy = 0.2 eV/f.u.

```
8
Lattice="-4.0676 -0.1432 -3.1816 -3.0130 -1.3950 3.9149 -4.9301 8.3594 5.9267" Properties=species:S:1:pos:R:3 pbc="T T T"
Pr -6.4783 5.8136 3.8265
Nd -4.9300 8.3594 5.9267
Pr -5.9506 5.1795 7.3746
Nd -4.4988 4.1081 1.3725
Pr -6.0600 1.6417 -0.7146
Sc -3.9715 3.4823 4.9208
Er -3.5403 -0.7691 0.3667
Pr -5.5324 1.0076 2.8335
```


Record 4
This record from Alexandria describes a geometry-optimized Tm3Zn4Cd2 structure. The functional is GGA-PBE.

E = -2.58 eV/atom
magnetic moment = 0.00 Bohr magnetons per cell
formation energy = -2.9 eV/f.u.

```
9
Lattice="4.6277 0.0000 0.0000 -2.3138 4.9111 -1.9044 0.0000 -0.7892 8.6414" Properties=species:S:1:pos:R:3 pbc="T T T"
Tm 0.0000 3.0569 1.5360
Cd 2.3138 0.9466 2.0001
Zn 2.3138 3.8979 3.5365
Tm 2.3138 1.0650 5.2010
Zn 0.0000 1.9098 7.1448
Zn 0.0000 0.2240 3.2005
Tm 0.0000 0.0000 0.0000
Cd 0.0000 3.1753 4.7369
Zn 2.3138 2.2122 -0.4077
```